# 1
Computed, not measured: crystalline AcLaCuPt at its relaxed geometry at the GGA-PBE level of DFT.

Results
Excess energy over the best structure of this formula in the dataset, meV/atom: 77
Magnetic moment, μB/atom: 0.000
SG: F-43m (216)

Geometry as POSCAR:
```
AcLaCuPt
1.0
-5.1427 0.7606 0.8753
-3.4095 -0.1593 -4.0178
-3.3723 -4.0285 -0.4373
Ac Cu Pt La
1 1 1 1
Direct
0.0000 0.0000 0.0000 Ac
0.2500 0.2500 0.2500 Cu
0.7500 0.7500 0.7500 Pt
0.5000 0.5000 0.5000 La
```

# 2
Computed, not measured: crystalline AcLaCuPt at its relaxed geometry at the GGA-PBE level of DFT.

Results
Excess energy over the best structure of this formula in the dataset, meV/atom: 0
Magnetic moment, μB/atom: 0.000
SG: Amm2 (38)

Geometry as POSCAR:
```
AcLaCuPt
1.0
4.0876 0.0000 0.0000
0.0000 4.6200 0.0000
-2.0438 0.0000 5.6766
Ac La Cu Pt
1 1 1 1
Direct
0.1388 0.0000 0.2776 Ac
0.8670 0.5000 0.7340 La
0.5741 0.5000 0.1481 Cu
0.4201 0.0000 0.8403 Pt
```

# 3
Computed, not measured: crystalline AcLaCuRh at its relaxed geometry at the GGA-PBE level of DFT.

Results
Excess energy over the best structure of this formula in the dataset, meV/atom: 75
Magnetic moment, μB/atom: 0.000
SG: F-43m (216)

Geometry as POSCAR:
```
AcLaCuRh
1.0
-0.1522 -1.6502 -4.9439
4.4325 -0.6617 -2.6653
1.6305 -4.8063 -1.1956
Ac Rh Cu La
1 1 1 1
Direct
0.0000 0.0000 0.0000 Ac
0.7500 0.7500 0.7500 Rh
0.2500 0.2500 0.2500 Cu
0.5000 0.5000 0.5000 La
```

# 4
Computed, not measured: crystalline AcLaCuRh at its relaxed geometry at the GGA-PBE level of DFT.

Results
Excess energy over the best structure of this formula in the dataset, meV/atom: 0
Magnetic moment, μB/atom: 0.000
SG: Amm2 (38)

Geometry as POSCAR:
```
AcLaCuRh
1.0
4.1094 0.0000 0.0000
0.0000 4.4918 0.0000
-2.0547 0.0000 5.6132
Ac La Cu Rh
1 1 1 1
Direct
0.1416 0.0000 0.2832 Ac
0.8690 0.5000 0.7380 La
0.5724 0.5000 0.1448 Cu
0.4170 0.0000 0.8340 Rh
```

# 5
Computed, not measured: crystalline AcLaCuS4 at its relaxed geometry at the GGA-PBE level of DFT.

Results
Magnetic moment, μB/atom: 0.000
Raw formation energy, eV per atom: -1.6306
SG: P2_1/m (11)

Geometry as POSCAR:
```
AcLaCuS4
1.0
6.9010 0.0000 0.0781
0.0000 5.8312 0.0000
-2.6053 0.0000 7.9836
Ac La Cu S
2 2 2 8
Direct
0.7274 0.7500 0.9303 Ac
0.2726 0.2500 0.0697 Ac
0.7420 0.7500 0.4387 La
0.2580 0.2500 0.5613 La
0.2438 0.7500 0.3134 Cu
0.7562 0.2500 0.6866 Cu
0.0112 0.5117 0.7510 S
0.9888 0.0117 0.2490 S
0.9888 0.4883 0.2490 S
0.0112 0.9883 0.7510 S
0.4293 0.7500 0.1232 S
0.5707 0.2500 0.8768 S
0.4200 0.7500 0.5926 S
0.5800 0.2500 0.4074 S
```

# 6
Computed, not measured: crystalline AcLaCu2S4 at its relaxed geometry at the GGA-PBE level of DFT.

Results
Magnetic moment, μB/atom: 0.000
Raw formation energy, eV per atom: -1.3456
SG: I222 (23)

Geometry as POSCAR:
```
AcLaCu2S4
1.0
-4.2236 -5.1938 -0.8269
1.6199 -5.8770 1.1283
-3.2654 -2.4662 4.6574
Ac La Cu S
1 1 2 4
Direct
0.0000 0.0000 0.0000 Ac
0.5000 0.5000 0.5000 La
0.1743 0.3257 0.3257 Cu
0.8257 0.6743 0.6743 Cu
0.4520 0.0669 0.4981 S
0.0170 0.9331 0.5019 S
0.9830 0.4981 0.0669 S
0.5480 0.5019 0.9331 S
```